[1]
Entry from the Alexandria database: a geometry-optimized CaAc2WO6 structure (GGA+U).

The structure belongs to space group P2_1/c (No. 14); the cell edges are 5.892, 6.077 and 10.363 Å and the angles 90.00°, 124.52° and 90.00°. Symmetry generates all atoms from Ca at (0.000, 0.000, 0.000), Ac at (0.258, 0.052, 0.749), W at (0.500, 0.000, 0.500), O at (0.157, 0.041, 0.261), O at (0.259, 0.684, 0.048) and O at (0.377, 0.216, 0.057).

The total DFT energy (no corrections) comes out at -7.660 eV per atom. The total magnetic moment is 4.0 μB/cell.

***

[2]
Entry from the Alexandria database: a geometry-optimized CaVMoO6 structure (GGA+U).

The structure belongs to space group P-31c (No. 163); the cell edges are 5.1685, 5.1685 and 10.1213 Å and the angles 90.00°, 90.00° and 120.00°. Symmetry generates all atoms from Ca at (0.0000, 0.0000, 0.0000), V at (0.3333, 0.6667, 0.2500), Mo at (0.3333, 0.6667, 0.7500) and O at (0.0024, 0.3712, 0.6447).

The total DFT energy (no corrections) comes out at -7.249 eV per atom. The total magnetic moment is 2.0 μB/cell.